Entry from Alexandria: crystalline Cs2CrPCl6 at its relaxed geometry (PBE).

## Properties
Magnetic moment, μB/f.u.: 5.000
Space-group type: No. 139
Raw formation energy, eV/atom: -1.13
Mass density, Mg/m³: 3.197

Lattice parameters (Å, degrees): 7.6550 7.6550 7.6550 124.69 124.69 82.05
Positions (direct):
Cs  0.2500  0.7500  0.5000
Cs  0.7500  0.2500  0.5000
Cr  0.0000  0.0000  0.0000
P  0.5000  0.5000  0.0000
Cl  0.2039  0.2039  0.0000
Cl  0.2562  0.2562  0.5124
Cl  0.2562  0.7438  0.0000
Cl  0.7438  0.2562  0.0000
Cl  0.7438  0.7438  0.4876
Cl  0.7961  0.7961  0.0000



Entry from Alexandria: crystalline Ca7GeN6 at its relaxed geometry (PBE).

## Properties
Magnetic moment, μB/f.u.: 0.000
Space-group type: No. 60
Raw formation energy, eV/atom: -0.80
Mass density, Mg/m³: 3.246

Lattice parameters (Å, degrees): 10.9093 6.2193 13.1849 90.00 90.00 90.00
Positions (direct):
Ca  0.0000  0.0577  0.2500
Ca  0.0000  0.9423  0.7500
Ca  0.0377  0.2309  0.5207
Ca  0.0377  0.7691  0.0207
Ca  0.2056  0.3927  0.1167
Ca  0.2056  0.6073  0.6167
Ca  0.2287  0.3541  0.8734
Ca  0.2287  0.6459  0.3734
Ca  0.2713  0.1459  0.3734
Ca  0.2713  0.8541  0.8734
Ca  0.2944  0.1073  0.6167
Ca  0.2944  0.8927  0.1167
Ca  0.4623  0.2691  0.0207
Ca  0.4623  0.7309  0.5207
Ca  0.5000  0.4423  0.7500
Ca  0.5000  0.5577  0.2500
Ca  0.5377  0.2691  0.4793
Ca  0.5377  0.7309  0.9793
Ca  0.7056  0.1073  0.8833
Ca  0.7056  0.8927  0.3833
Ca  0.7287  0.1459  0.1266
Ca  0.7287  0.8541  0.6266
Ca  0.7713  0.3541  0.6266
Ca  0.7713  0.6459  0.1266
Ca  0.7944  0.3927  0.3833
Ca  0.7944  0.6073  0.8833
Ca  0.9623  0.2309  0.9793
Ca  0.9623  0.7691  0.4793
Ge  0.0000  0.4342  0.7500
Ge  0.0000  0.5658  0.2500
Ge  0.5000  0.0658  0.2500
Ge  0.5000  0.9342  0.7500
N  0.0504  0.3874  0.3589
N  0.0504  0.6126  0.8589
N  0.1322  0.2542  0.7058
N  0.1322  0.7458  0.2058
N  0.1662  0.0934  0.9940
N  0.1662  0.9066  0.4940
N  0.3338  0.4066  0.4940
N  0.3338  0.5934  0.9940
N  0.3678  0.2458  0.2058
N  0.3678  0.7542  0.7058
N  0.4496  0.1126  0.8589
N  0.4496  0.8874  0.3589
N  0.5504  0.1126  0.6411
N  0.5504  0.8874  0.1411
N  0.6322  0.2458  0.2942
N  0.6322  0.7542  0.7942
N  0.6662  0.4066  0.0060
N  0.6662  0.5934  0.5060
N  0.8338  0.0934  0.5060
N  0.8338  0.9066  0.0060
N  0.8678  0.2542  0.7942
N  0.8678  0.7458  0.2942
N  0.9496  0.3874  0.1411
N  0.9496  0.6126  0.6411



Entry from Alexandria: crystalline SrFeRu at its relaxed geometry (PBE).

## Properties
Energy above the lowest structure with this stoichiometry, eV/atom: 0.099
Magnetic moment, μB/f.u.: 0.000
Space-group type: No. 194
Mass density, Mg/m³: 6.115

Lattice parameters (Å, degrees): 3.9222 3.9222 9.9693 90.00 90.00 120.00
Positions (direct):
Sr  0.0000  0.0000  0.0000
Sr  0.0000  0.0000  0.5000
Fe  0.3333  0.6667  0.2500
Fe  0.6667  0.3333  0.7500
Ru  0.3333  0.6667  0.7500
Ru  0.6667  0.3333  0.2500



Entry from Alexandria: crystalline Rb3Cd4Bi4 at its relaxed geometry (PBE).

## Properties
Magnetic moment, μB/f.u.: 0.000
Space-group type: No. 71
DFT total energy, eV per atom: -2.22
Mass density, Mg/m³: 5.999

Lattice parameters (Å, degrees): 15.3090 15.3090 15.3090 160.32 159.31 28.71
Positions (direct):
Rb  0.0000  0.0000  0.0000
Rb  0.1489  0.6489  0.5000
Rb  0.8511  0.3511  0.5000
Cd  0.2484  0.2484  0.0000
Cd  0.4034  0.9034  0.5000
Cd  0.5966  0.0966  0.5000
Cd  0.7516  0.7516  0.0000
Bi  0.3029  0.8029  0.5000
Bi  0.4475  0.4475  0.0000
Bi  0.5525  0.5525  0.0000
Bi  0.6971  0.1971  0.5000



Entry from Alexandria: crystalline Pm12ZnCo6 at its relaxed geometry (PBE).

## Properties
Magnetic moment, μB/f.u.: 0.000
Space-group type: No. 204
DFT total energy, eV per atom: -5.43
Mass density, Mg/m³: 7.414

Lattice parameters (Å, degrees): 8.5643 8.5643 8.5643 109.47 109.47 109.47
Positions (direct):
Pm  0.1106  0.8066  0.3041
Pm  0.1934  0.3041  0.4975
Pm  0.1934  0.6959  0.8894
Pm  0.3041  0.1106  0.8066
Pm  0.3041  0.4975  0.1934
Pm  0.4975  0.1934  0.3041
Pm  0.5025  0.8066  0.6959
Pm  0.6959  0.5025  0.8066
Pm  0.6959  0.8894  0.1934
Pm  0.8066  0.3041  0.1106
Pm  0.8066  0.6959  0.5025
Pm  0.8894  0.1934  0.6959
Zn  0.0000  0.0000  0.0000
Co  0.1121  0.6121  0.5000
Co  0.3879  0.5000  0.8879
Co  0.5000  0.1121  0.6121
Co  0.5000  0.8879  0.3879
Co  0.6121  0.5000  0.1121
Co  0.8879  0.3879  0.5000



Entry from Alexandria: crystalline PrTm2In at its relaxed geometry (PBE).

## Properties
Energy above the lowest structure with this stoichiometry, eV/atom: 0.302
Magnetic moment, μB/f.u.: 0.002
Space-group type: No. 166
Mass density, Mg/m³: 7.948

Lattice parameters (Å, degrees): 12.0094 12.0094 12.0094 16.65 16.65 16.65
Positions (direct):
Pr  0.0000  0.0000  0.0000
Tm  0.0966  0.0966  0.0966
Tm  0.9034  0.9034  0.9034
In  0.5000  0.5000  0.5000



Entry from Alexandria: crystalline Tm2Be4ZnIr3 at its relaxed geometry (PBE).

## Properties
Magnetic moment, μB/f.u.: 0.000
Space-group type: No. 115
DFT total energy, eV per atom: -5.74
Mass density, Mg/m³: 11.528

Lattice parameters (Å, degrees): 3.8424 3.8424 9.9123 90.00 90.00 90.00
Positions (direct):
Tm  0.0000  0.5000  0.2408
Tm  0.5000  0.0000  0.7592
Be  0.0000  0.0000  0.0000
Be  0.0000  0.5000  0.6367
Be  0.5000  0.0000  0.3633
Be  0.5000  0.5000  0.0000
Zn  0.0000  0.0000  0.5000
Ir  0.0000  0.5000  0.8702
Ir  0.5000  0.0000  0.1298
Ir  0.5000  0.5000  0.5000



Entry from Alexandria: crystalline CdAgIr at its relaxed geometry (PBE).

## Properties
Energy above the lowest structure with this stoichiometry, eV/atom: 0.068
Magnetic moment, μB/f.u.: 0.466
Space-group type: No. 44
Mass density, Mg/m³: 13.177

Lattice parameters (Å, degrees): 5.0506 5.0506 5.0506 147.40 130.92 60.17
Positions (direct):
Cd  0.0000  0.0000  0.0000
Ag  0.3276  0.3276  0.0000
Ir  0.6635  0.6635  0.0000



Entry from Alexandria: crystalline DyAl3Zn2 at its relaxed geometry (PBE).

## Properties
Energy above the lowest structure with this stoichiometry, eV/atom: 0.000
Magnetic moment, μB/f.u.: 0.000
Space-group type: No. 12
Mass density, Mg/m³: 5.688

Lattice parameters (Å, degrees): 8.0877 8.0877 6.7542 105.63 105.63 31.01
Positions (direct):
Dy  0.1167  0.1167  0.1837
Dy  0.8833  0.8833  0.8163
Al  0.0672  0.0672  0.6845
Al  0.3023  0.3023  0.0759
Al  0.3786  0.3786  0.4969
Al  0.6214  0.6214  0.5031
Al  0.6977  0.6977  0.9241
Al  0.9328  0.9328  0.3155
Zn  0.2365  0.2365  0.6573
Zn  0.4752  0.4752  0.1596
Zn  0.5248  0.5248  0.8404
Zn  0.7635  0.7635  0.3427



Entry from Alexandria: crystalline AcPmTe2O at its relaxed geometry (PBE).

## Properties
Magnetic moment, μB/f.u.: 0.000
Space-group type: No. 129
Raw formation energy, eV/atom: -2.14
Mass density, Mg/m³: 6.875

Lattice parameters (Å, degrees): 4.3896 4.3896 16.1246 90.00 90.00 90.00
Positions (direct):
Ac  0.2500  0.2500  0.0754
Ac  0.7500  0.7500  0.9246
Pm  0.2500  0.2500  0.6252
Pm  0.7500  0.7500  0.3748
Te  0.2500  0.2500  0.4128
Te  0.2500  0.2500  0.8065
Te  0.7500  0.7500  0.1935
Te  0.7500  0.7500  0.5872
O  0.2500  0.7500  0.0000
O  0.7500  0.2500  0.0000



Entry from Alexandria: crystalline K2GdF4 at its relaxed geometry (PBE).

## Properties
Magnetic moment, μB/f.u.: 6.759
Space-group type: No. 139
Raw formation energy, eV/atom: -3.03
Mass density, Mg/m³: 3.270

Lattice parameters (Å, degrees): 8.0820 8.0820 8.0820 146.74 146.74 47.75
Positions (direct):
K  0.1677  0.1677  0.0000
K  0.8323  0.8323  0.0000
Gd  0.5000  0.5000  0.0000
F  0.0000  0.5000  0.5000
F  0.3471  0.3471  0.0000
F  0.5000  0.0000  0.5000
F  0.6529  0.6529  0.0000



Entry from Alexandria: crystalline PrAlZn at its relaxed geometry (PBE).

## Properties
Magnetic moment, μB/f.u.: 0.000
Space-group type: No. 63
DFT total energy, eV per atom: -3.45
Mass density, Mg/m³: 5.538

Lattice parameters (Å, degrees): 8.5829 8.5829 4.6121 90.00 90.00 155.68
Positions (direct):
Pr  0.1092  0.8908  0.7500
Pr  0.8908  0.1092  0.2500
Al  0.2936  0.7064  0.7500
Al  0.7064  0.2936  0.2500
Zn  0.4566  0.5434  0.7500
Zn  0.5434  0.4566  0.2500